PaGa7Tc2: optimized geometry, GGA-PBE.

Results
space group = Cmmm
energy of formation from the pure elements = 0.03 eV/atom
total magnetic moment = 0.0 μB/cell
electronic total energy = -5.11 eV per atom

Lattice parameters (Å, degrees): 4.175 6.878 6.878 91.97 90.00 90.00
Fractional coordinates of all 10 atoms:
Pa (0.000, 0.000, 0.000)
Ga (0.500, 0.626, 0.876)
Ga (0.000, 0.656, 0.344)
Ga (0.500, 0.374, 0.124)
Ga (0.500, 0.124, 0.374)
Ga (0.000, 0.344, 0.656)
Ga (0.500, 0.500, 0.500)
Ga (0.500, 0.876, 0.626)
Tc (0.500, 0.784, 0.216)
Tc (0.500, 0.216, 0.784)

Pa3Ga2Tc5: optimized geometry, GGA-PBE.

Results
space group = Ibam
energy of formation from the pure elements = 0.01 eV/atom
total magnetic moment = 0.0 μB/cell
electronic total energy = -8.63 eV per atom

Lattice parameters (Å, degrees): 5.902 8.702 8.702 80.33 70.18 70.18
Fractional coordinates of all 20 atoms:
Pa (0.250, 0.000, 0.000)
Pa (0.750, 0.000, 0.000)
Pa (0.122, 0.159, 0.597)
Pa (0.378, 0.403, 0.841)
Pa (0.878, 0.841, 0.403)
Pa (0.622, 0.597, 0.159)
Tc (0.639, 0.260, 0.462)
Tc (0.750, 0.500, 0.500)
Tc (0.961, 0.789, 0.789)
Tc (0.361, 0.740, 0.538)
Tc (0.250, 0.500, 0.500)
Tc (0.461, 0.789, 0.789)
Tc (0.539, 0.211, 0.211)
Tc (0.861, 0.538, 0.740)
Tc (0.039, 0.211, 0.211)
Tc (0.139, 0.462, 0.260)
Ga (0.871, 0.309, 0.949)
Ga (0.129, 0.691, 0.051)
Ga (0.629, 0.051, 0.691)
Ga (0.371, 0.949, 0.309)